Compound: KNiSb2
Source: Alexandria via LeMat-Bulk
Functional: GGA-PBE
Structure: relaxed

Cell lengths 4.2695, 4.8213, 6.4276 Å; angles 76.38, 90.00, 90.00 degrees
Element x y z (fractional)
Sb (0.0000, 0.9614, 0.8805)
Sb (0.5000, 0.2116, 0.1242)
Ni (0.5000, 0.7318, 0.0258)
K (0.0000, 0.5952, 0.4696)

The distance to the lowest polymorph of the same formula comes out at 174.6 meV/atom. As for the spin magnetization: 0.0 μB/f.u. For the formation energy (no corrections), the calculation gives -0.12 eV per atom. The value obtained for the density of states at the Fermi level is 1.1 states/eV/cell.